# 1
VASP calculation (PBE) on a geometry-optimized LiSc3Mo structure.

Total energy = -5.900 eV per atom
Total magnetic moment = 0.0 μB/cell
SG = Pm-3m (221)
Formation energy = 0.448 eV/atom
Polymorph energy (0 for the lowest one) = 0 kJ/mol of formula units

a = 5.115 Å, b = 5.115 Å, c = 5.115 Å
α = 90.00°, β = 90.00°, γ = 90.00°
Fractional coordinates of all 5 atoms:
Sc1 0.000 0.500 0.000
Sc2 0.000 0.000 0.500
Sc3 0.500 0.000 0.000
Mo1 0.000 0.000 0.000
Li1 0.500 0.500 0.500

***

# 2
VASP calculation (PBE) on a geometry-optimized LiScMo structure.

Total energy = -5.972 eV per atom
Total magnetic moment = 0.0 μB/cell
SG = Imm2 (44)
Formation energy = 0.387 eV/atom
Polymorph energy (0 for the lowest one) = 109 kJ/mol of formula units

a = 5.258 Å, b = 5.258 Å, c = 5.258 Å
α = 148.86°, β = 136.49°, γ = 54.46°
Fractional coordinates of all 3 atoms:
Li1 0.991 0.991 0.000
Mo1 0.340 0.340 0.000
Sc1 0.669 0.669 0.000